[1]
A geometry-optimized Cr3TcW2 structure. Source: the Alexandria database, functional PBE.

a = 6.736 Å, b = 6.736 Å, c = 7.391 Å
α = 122.77°, β = 122.77°, γ = 36.79°
Sites, in units of the cell vectors:
1 Cr 0.044 0.044 0.384
2 Cr 0.290 0.290 0.615
3 Cr 0.377 0.377 0.383
4 Cr 0.623 0.623 0.617
5 Cr 0.710 0.710 0.385
6 Cr 0.956 0.956 0.616
7 Tc 0.132 0.132 0.143
8 Tc 0.868 0.868 0.857
9 W 0.203 0.203 0.861
10 W 0.464 0.464 0.139
11 W 0.536 0.536 0.861
12 W 0.797 0.797 0.139

DFT total energy: -129.30 eV per cell
Density of states at the Fermi level: 0.834 states/eV/atom
Calculated density: 12.5 Mg/m³


[2]
A geometry-optimized Cr2Tc2W structure. Source: the Alexandria database, functional PBE.

a = 7.166 Å, b = 7.166 Å, c = 2.755 Å
α = 90.00°, β = 90.00°, γ = 90.00°
Sites, in units of the cell vectors:
1 Cr 0.167 0.333 0.000
2 Cr 0.333 0.833 0.000
3 Cr 0.667 0.167 0.000
4 Cr 0.833 0.667 0.000
5 Tc 0.135 0.635 0.500
6 Tc 0.365 0.135 0.500
7 Tc 0.635 0.865 0.500
8 Tc 0.865 0.365 0.500
9 W 0.000 0.000 0.500
10 W 0.500 0.500 0.500

DFT total energy: -102.31 eV per cell
Density of states at the Fermi level: 1.266 states/eV/atom
Calculated density: 11.4 Mg/m³


[3]
A geometry-optimized Cr4TcW5 structure. Source: the Alexandria database, functional PBE.

a = 3.047 Å, b = 3.047 Å, c = 15.292 Å
α = 90.00°, β = 90.00°, γ = 90.00°
Sites, in units of the cell vectors:
1 Cr 0.000 0.000 0.099
2 Cr 0.000 0.000 0.296
3 Cr 0.000 0.000 0.704
4 Cr 0.000 0.000 0.901
5 Tc 0.000 0.000 0.500
6 W 0.500 0.500 0.000
7 W 0.500 0.500 0.197
8 W 0.500 0.500 0.393
9 W 0.500 0.500 0.607
10 W 0.500 0.500 0.803

DFT total energy: -113.40 eV per cell
Density of states at the Fermi level: 0.580 states/eV/atom
Calculated density: 14.3 Mg/m³